(1)
Material: Sb2C
Method: DFT, meta-GGA SCAN
State: single point on PBEsol structure

Values from the calculation:
- density (Mg/m³) = 7.11
- E_form (uncorrected) (meV per atom) = 1173
- E_tot (eV per atom) = -27.034
- size of the total moment (μB/cell) = 0.0
- calculated volume (Å³/f.u.) = 59.69
- energy relative to the lowest polymorph listed for this composition (meV/atom) = 0

Structure (CIF):
```
data_Sb2C
_cell_length_a 3.2631
_cell_length_b 3.2631
_cell_length_c 12.9472
_cell_angle_alpha 90.00
_cell_angle_beta 90.00
_cell_angle_gamma 120.00
_symmetry_space_group_name_H-M 'P 63/m m c'
_symmetry_Int_Tables_number 194
_symmetry_space_group_name_Hall '-P 6c 2c'
loop_
_atom_site_label
_atom_site_type_symbol
_atom_site_fract_x
_atom_site_fract_y
_atom_site_fract_z
Sb1 Sb 0.3333 0.6667 0.1148
C1 C 0.0000 0.0000 0.0000
```


(2)
Material: SbC2
Method: DFT, meta-GGA SCAN
State: single point on PBEsol structure

Values from the calculation:
- density (Mg/m³) = 5.09
- E_form (uncorrected) (meV per atom) = 1156
- E_tot (eV per atom) = -17.998
- size of the total moment (μB/cell) = 0.0
- calculated volume (Å³/f.u.) = 47.58
- energy relative to the lowest polymorph listed for this composition (meV/atom) = 160

Structure (CIF):
```
data_SbC2
_cell_length_a 7.9319
_cell_length_b 7.9319
_cell_length_c 2.6199
_cell_angle_alpha 90.00
_cell_angle_beta 90.00
_cell_angle_gamma 120.00
_symmetry_space_group_name_H-M 'P -6 2 m'
_symmetry_Int_Tables_number 189
_symmetry_space_group_name_Hall 'P -6 -2'
loop_
_atom_site_label
_atom_site_type_symbol
_atom_site_fract_x
_atom_site_fract_y
_atom_site_fract_z
Sb1 Sb 0.0000 0.0000 0.0000
Sb2 Sb 0.3333 0.6667 0.5000
C1 C 0.0000 0.6481 0.5000
C2 C 0.0000 0.7196 0.0000
```